Here is a relaxed CrRuCl2 crystal from the Alexandria database. Energies are from PBE-GGA.

a = 3.231 Å, b = 3.230 Å, c = 6.454 Å
α = 90.00°, β = 90.00°, γ = 90.00°
Last column: magnetic moment on the atom in μB.
Element x y z (fractional)
Cl (0.000, 0.000, 0.495)  -0.09
Ru (0.500, 0.500, 0.750)  -2.21
Cl (0.000, 0.000, 0.005)  -0.09
Cr (0.500, 0.500, 0.250)  3.99

Values from the calculation:
- Electronic total energy: -5.115 eV per atom
- Magnetization: 2.0 Bohr magnetons per cell
- SG: P4/mmm
- Fermi-level density of states: 3.05 states/eV per cell